[1]
12
Lattice="4.4387 0.0000 0.0000 0.0000 9.0081 0.2524 -2.2193 -2.6685 9.4029" Properties=species:S:1:pos:R:3 comment="La3Tb2HoTe6 (GGA-PBE, relaxed)" dos_at_fermi_per_ev_fu=7.196 energy_ev_per_atom=-5.4043 vol_a3_per_cell=379 pbc="T T T"
Te 2.2193 4.2033 9.5371
Ho 2.2193 0.0000 0.0000
Te 0.0000 2.1363 0.1182
Te 0.0000 6.3854 6.5866
La 2.2193 4.5040 0.1262
Te 2.2193 4.2678 3.3381
La 2.2193 -0.2711 6.2902
Tb 0.0000 2.1137 3.2287
Te 0.0000 2.0717 6.3172
Te 2.2193 -0.0458 3.0687
La 0.0000 6.6107 3.3651
Tb 2.2193 4.2258 6.4266



[2]
12
Lattice="4.3531 0.0000 0.0000 0.0000 8.6087 -0.3333 0.0000 -2.5684 10.5184" Properties=species:S:1:pos:R:3 comment="LaTbHoTe3 (GGA-PBE, relaxed)" dos_at_fermi_per_ev_fu=4.583 energy_ev_per_atom=-5.2150 vol_a3_per_cell=390 pbc="T T T"
Tb 3.2648 0.5715 9.4354
Te 1.0883 -1.5215 9.3524
Te 3.2648 3.6413 1.9948
La 1.0883 1.0603 2.2296
Te 3.2648 7.5618 0.8328
Te 3.2648 0.7529 4.6984
La 3.2648 4.9800 7.9556
Ho 1.0883 -0.2747 6.4943
Tb 1.0883 5.4688 0.7498
Te 1.0883 2.3990 8.1904
Te 1.0883 5.2874 5.4867
Ho 3.2648 6.3150 3.6909



[3]
12
Lattice="4.4133 0.0000 0.0000 0.0000 8.9194 0.3289 -2.2067 -2.5599 9.3196" Properties=species:S:1:pos:R:3 comment="La2Tb3HoTe6 (GGA-PBE, relaxed)" dos_at_fermi_per_ev_fu=7.152 energy_ev_per_atom=-5.3246 vol_a3_per_cell=371 pbc="T T T"
Te 2.2067 -0.3497 9.3029
Tb 2.2067 4.4597 0.1644
La 2.2067 4.2321 6.4185
Ho 2.2067 0.0000 0.0000
Te 2.2067 4.4480 3.2255
Te 0.0000 6.5588 6.5827
Tb 0.0000 6.5696 3.4778
Te 0.0000 1.9116 6.4230
Te 0.0000 6.7093 0.3456
Tb 2.2067 -0.2100 6.1707
La 0.0000 2.1275 3.2300
Te 2.2067 -0.1992 3.0658